# 1
First-principles (PBE) data for a relaxed Zr2InPtO crystal, as listed in the Alexandria database.

Lattice parameters (Å, degrees): 4.3517 4.7014 4.3517 90.00 90.00 90.00
Element x y z (fractional)
1 O 0.0000 0.0000 0.0000
2 Zr 0.0000 0.0000 0.5000
3 Zr 0.5000 0.0000 0.0000
4 Pt 0.0000 0.5000 0.0000
5 In 0.5000 0.5000 0.5000

uncorrected formation energy	-93	kJ/mol of atoms
calculated volume	89.0	Å³/cell
energy above the lowest structure with this stoichiometry	0.00	kJ per mole of atoms
uncorrected energy	-7.129	eV per atom
spin magnetization	0.00	μB/atom
space-group type	P4/mmm (123)

# 2
First-principles (PBE) data for a relaxed PuInO crystal, as listed in the Alexandria database.

Lattice parameters (Å, degrees): 4.0092 4.0086 8.0110 89.98 90.00 90.00
Site moments in Bohr magnetons follow the coordinates.
Element x y z (fractional)
1 Pu 0.2500 0.2501 0.8614  5.10
2 Pu 0.7500 0.7499 0.1386  5.10
3 In 0.2500 0.2500 0.4140  0.03
4 In 0.7500 0.7500 0.5860  0.03
5 O 0.7500 0.2500 0.0000  -0.13
6 O 0.2500 0.7500 0.0000  -0.13

uncorrected formation energy	-171	kJ/mol of atoms
calculated volume	128.7	Å³/cell
energy above the lowest structure with this stoichiometry	0.00	kJ per mole of atoms
uncorrected energy	-9.111	eV per atom
spin magnetization	1.78	μB/atom
space-group type	P4/nmm (129)

# 3
First-principles (PBE) data for a relaxed Pu4In2O crystal, as listed in the Alexandria database.

Lattice parameters (Å, degrees): 4.8012 4.8012 8.6942 106.03 106.03 90.00
Site moments in Bohr magnetons follow the coordinates.
Element x y z (fractional)
1 In 0.6372 0.6372 0.2743  -0.01
2 In 0.3628 0.3628 0.7257  -0.01
3 O 0.0000 0.0000 0.0000  -0.12
4 Pu 0.8380 0.8380 0.6760  5.53
5 Pu 0.1620 0.1620 0.3240  5.53
6 Pu 0.0000 0.5000 0.0000  5.39
7 Pu 0.5000 0.0000 0.0000  5.39

uncorrected formation energy	-57	kJ/mol of atoms
calculated volume	184.5	Å³/cell
uncorrected energy	-10.268	eV per atom
spin magnetization	3.32	μB/atom
space-group type	I4/mmm (139)

# 4
First-principles (PBE) data for a relaxed PuInO3 crystal, as listed in the Alexandria database.

Lattice parameters (Å, degrees): 4.1508 4.1508 4.1508 90.00 90.00 90.00
Site moments in Bohr magnetons follow the coordinates.
Element x y z (fractional)
1 Pu 0.0000 0.0000 0.0000  5.14
2 In 0.5000 0.5000 0.5000  0.01
3 O 0.5000 0.5000 0.0000  -0.07
4 O 0.5000 0.0000 0.5000  -0.07
5 O 0.0000 0.5000 0.5000  -0.07

uncorrected formation energy	-169	kJ/mol of atoms
calculated volume	71.5	Å³/cell
uncorrected energy	-8.141	eV per atom
spin magnetization	1.00	μB/atom
space-group type	Pm-3m (221)

# 5
First-principles (PBE) data for a relaxed PuInO crystal, as listed in the Alexandria database.

Lattice parameters (Å, degrees): 3.8397 3.8397 10.6477 79.61 79.61 60.00
Site moments in Bohr magnetons follow the coordinates.
Element x y z (fractional)
1 O 0.3044 0.3044 0.0868  -0.12
2 O 0.6956 0.6956 0.9132  -0.12
3 In 0.1312 0.1312 0.6064  -0.05
4 In 0.8688 0.8688 0.3936  -0.05
5 Pu 0.3797 0.3797 0.8608  5.11
6 Pu 0.6203 0.6203 0.1392  5.11

uncorrected formation energy	-166	kJ/mol of atoms
calculated volume	133.0	Å³/cell
energy above the lowest structure with this stoichiometry	4.94	kJ per mole of atoms
uncorrected energy	-9.060	eV per atom
spin magnetization	1.71	μB/atom
space-group type	R-3m (166)

# 6
First-principles (PBE) data for a relaxed Pu2InO11 crystal, as listed in the Alexandria database.

Lattice parameters (Å, degrees): 8.4363 8.4363 8.4363 120.50 106.64 101.90
Site moments in Bohr magnetons follow the coordinates.
Element x y z (fractional)
1 Pu 0.7515 0.6971 0.4487  -0.65
2 Pu 0.2485 0.3029 0.5513  -0.65
3 Pu 0.2515 0.8029 0.0544  -0.65
4 Pu 0.7485 0.1971 0.9456  -0.65
5 In 0.7500 0.2500 0.5000  0.01
6 In 0.2500 0.7500 0.5000  0.01
7 O 0.7647 0.8958 0.4119  0.09
8 O 0.2353 0.1042 0.5881  0.09
9 O 0.4839 0.3528 0.5881  0.09
10 O 0.0161 0.6042 0.8689  0.09
11 O 0.5161 0.6472 0.4119  0.09
12 O 0.9839 0.3958 0.1311  0.09
13 O 0.7353 0.1472 0.1311  0.09
14 O 0.2647 0.8528 0.8689  0.09
15 O 0.5000 0.5000 0.0000  0.74
16 O 0.0000 0.0000 0.0000  0.74
17 O 0.8418 0.9472 0.7890  0.34
18 O 0.1582 0.0528 0.2110  0.34
19 O 0.3418 0.5528 0.8946  0.34
20 O 0.6582 0.4472 0.1054  0.34
21 O 0.9961 0.7453 0.4896  0.05
22 O 0.0039 0.2547 0.5104  0.05
23 O 0.2557 0.5065 0.5104  0.05
24 O 0.2443 0.7547 0.2508  0.05
25 O 0.7443 0.4935 0.4896  0.05
26 O 0.7557 0.2453 0.7492  0.05
27 O 0.5039 0.9935 0.7492  0.05
28 O 0.4961 0.0065 0.2508  0.05

uncorrected formation energy	-132	kJ/mol of atoms
calculated volume	448.5	Å³/cell
uncorrected energy	-7.502	eV per atom
spin magnetization	0.07	μB/atom
space-group type	Ibam (72)

# 7
First-principles (PBE) data for a relaxed PuIn2O8 crystal, as listed in the Alexandria database.

Lattice parameters (Å, degrees): 4.3550 7.6634 6.1360 64.86 58.33 73.66
Site moments in Bohr magnetons follow the coordinates.
Element x y z (fractional)
1 Pu 0.0000 0.0000 0.0000  -0.10
2 In 0.5708 0.5757 0.6866  -0.02
3 In 0.4292 0.4243 0.3134  -0.02
4 O 0.6633 0.8622 0.3543  0.03
5 O 0.3318 0.6899 0.0125  0.43
6 O 0.8283 0.9283 0.8409  0.03
7 O 0.1717 0.0717 0.1591  0.03
8 O 0.6682 0.3101 0.9875  0.43
9 O 0.3367 0.1378 0.6457  0.03
10 O 0.1251 0.5418 0.6476  0.38
11 O 0.8749 0.4582 0.3524  0.38

uncorrected formation energy	-124	kJ/mol of atoms
calculated volume	157.3	Å³/cell
uncorrected energy	-6.693	eV per atom
spin magnetization	0.18	μB/atom
space-group type	P-1 (2)

# 8
First-principles (PBE) data for a relaxed RbPuIn2O8 crystal, as listed in the Alexandria database.

Lattice parameters (Å, degrees): 5.0480 5.1045 8.0005 86.45 90.84 88.52
Site moments in Bohr magnetons follow the coordinates.
Element x y z (fractional)
1 Rb 0.0000 0.0000 0.5000  0.00
2 Pu 0.0000 0.0000 0.0000  1.42
3 In 0.5035 0.5069 0.8068  0.00
4 In 0.4965 0.4931 0.1932  0.00
5 O 0.1912 0.8002 0.1879  -0.07
6 O 0.7040 0.6978 0.9994  -0.04
7 O 0.8086 0.1717 0.1712  -0.07
8 O 0.8088 0.1998 0.8121  -0.07
9 O 0.2960 0.3022 0.0006  -0.04
10 O 0.1914 0.8283 0.8288  -0.07
11 O 0.4489 0.6059 0.5514  -0.04
12 O 0.5511 0.3941 0.4486  -0.04

uncorrected formation energy	-155	kJ/mol of atoms
calculated volume	205.7	Å³/cell
uncorrected energy	-6.639	eV per atom
spin magnetization	0.08	μB/atom
space-group type	P-1 (2)

Q: Which of these has the lowest uncorrected energy?
A: Pu4In2O

Q: Among the records above, which one has the lowest uncorrected energy?
A: Pu4In2O